Entry 1:
A relaxed structure of BeIrPt2, computed with PBE.

Cell: 2.7530 4.7233 8.6162 Å, 90.00 90.00 90.00°
Element x y z (fractional)
Be 0.0000 0.0000 0.0000
Be 0.5000 0.5000 0.0000
Ir 0.0000 0.0000 0.5000
Ir 0.5000 0.5000 0.5000
Pt 0.0000 0.5000 0.2143
Pt 0.0000 0.5000 0.7857
Pt 0.5000 0.0000 0.2143
Pt 0.5000 0.0000 0.7857

Output
ΔH_f (0 K), eV/atom: -0.099

Entry 2:
A relaxed structure of BeIr2Pt, computed with PBE.

Cell: 2.7677 3.8716 5.2587 Å, 90.00 105.01 90.00°
Element x y z (fractional)
Be 0.0000 0.0000 0.0000
Ir 0.1567 0.5000 0.2998
Ir 0.7680 0.0000 0.5224
Pt 0.4246 0.5000 0.8350

Output
ΔH_f (0 K), eV/atom: -0.147

Entry 3:
A relaxed structure of BeIr2Pt, computed with PBE.

Cell: 2.7453 3.7328 5.3883 Å, 90.00 90.00 90.00°
Element x y z (fractional)
Be 0.0000 0.0000 0.0000
Ir 0.0000 0.0000 0.4891
Ir 0.5000 0.5000 0.2696
Pt 0.5000 0.5000 0.7876

Output
ΔH_f (0 K), eV/atom: -0.105

Entry 4:
A relaxed structure of BeIrPt2, computed with PBE.

Cell: 2.8069 4.3421 8.9211 Å, 90.00 90.00 90.00°
Element x y z (fractional)
Be 0.0000 0.0000 0.0000
Be 0.5000 0.5000 0.5000
Ir 0.0000 0.0000 0.5000
Ir 0.5000 0.5000 0.0000
Pt 0.0000 0.5000 0.2951
Pt 0.0000 0.5000 0.7049
Pt 0.5000 0.0000 0.2049
Pt 0.5000 0.0000 0.7951

Output
ΔH_f (0 K), eV/atom: -0.163

Computed theoretical density (g/cm³) in order:
17.530, 17.956, 17.698, 18.064
Computed V (A^3/atom) in order:
14.00, 13.61, 13.80, 13.59